{"formula": "TmTeN3", "functional": "PBE", "state": "optimized geometry", "cell": [[5.708, 0.000, 0.000], [0.000, 3.691, 0.000], [-2.707, 0.000, 7.531]], "species": ["Tm", "Tm", "Te", "Te", "N", "N", "N", "N", "N", "N"], "frac_coords": [[0.046, 0.250, 0.324], [0.954, 0.750, 0.676], [0.487, 0.250, 0.821], [0.513, 0.750, 0.179], [0.182, 0.250, 0.618], [0.215, 0.750, 0.235], [0.381, 0.750, 0.894], [0.619, 0.250, 0.106], [0.785, 0.250, 0.765], [0.818, 0.750, 0.382]], "total_energy_ev_per_atom": -6.55}

{"formula": "ZnTeN2", "functional": "PBE", "state": "optimized geometry", "cell": [[-3.817, 3.817, 4.009], [3.817, -3.817, 4.009], [3.817, 3.817, -4.009]], "species": ["Zn", "Zn", "Zn", "Zn", "Te", "Te", "Te", "Te", "N", "N", "N", "N", "N", "N", "N", "N"], "frac_coords": [[0.375, 0.191, 0.316], [0.809, 0.125, 0.184], [0.875, 0.059, 0.684], [0.941, 0.625, 0.816], [0.340, 0.625, 0.215], [0.375, 0.590, 0.715], [0.410, 0.125, 0.785], [0.875, 0.660, 0.285], [0.025, 0.812, 0.657], [0.118, 0.405, 0.843], [0.155, 0.368, 0.343], [0.188, 0.845, 0.213], [0.562, 0.275, 0.157], [0.595, 0.438, 0.713], [0.632, 0.975, 0.787], [0.725, 0.882, 0.287]], "total_energy_ev_per_atom": -4.66}

{"formula": "ThN", "functional": "PBE", "state": "optimized geometry", "cell": [[6.890, 0.000, 0.000], [0.000, 3.564, 0.000], [0.000, 0.000, 6.396]], "species": ["Th", "Th", "Th", "Th", "N", "N", "N", "N"], "frac_coords": [[0.000, 0.000, 0.000], [0.250, 0.500, 0.497], [0.500, 0.000, 0.000], [0.750, 0.500, 0.503], [0.250, 0.000, 0.265], [0.250, 0.500, 0.862], [0.750, 0.000, 0.735], [0.750, 0.500, 0.138]], "total_energy_ev_per_atom": -9.00}

{"formula": "ThN", "functional": "PBE", "state": "optimized geometry", "cell": [[5.550, 0.000, 0.000], [0.000, 5.550, 0.000], [0.000, 0.000, 5.550]], "species": ["Th", "Th", "Th", "Th", "N", "N", "N", "N"], "frac_coords": [[0.000, 0.000, 0.000], [0.000, 0.500, 0.500], [0.500, 0.000, 0.500], [0.500, 0.500, 0.000], [0.250, 0.250, 0.250], [0.250, 0.750, 0.750], [0.750, 0.250, 0.750], [0.750, 0.750, 0.250]], "total_energy_ev_per_atom": -9.17}

{"formula": "ThN", "functional": "PBE", "state": "optimized geometry", "cell": [[3.475, 0.000, 0.000], [-1.738, 3.010, 0.000], [0.000, 0.000, 3.260]], "species": ["Th", "N"], "frac_coords": [[0.000, 0.000, 0.000], [0.333, 0.667, 0.500]], "total_energy_ev_per_atom": -9.01}

{"formula": "ThN", "functional": "PBE", "state": "optimized geometry", "cell": [[5.159, 0.000, 0.000], [0.000, 5.159, 0.000], [0.000, 0.000, 5.159]], "species": ["Th", "Th", "Th", "Th", "N", "N", "N", "N"], "frac_coords": [[0.000, 0.000, 0.000], [0.000, 0.500, 0.500], [0.500, 0.000, 0.500], [0.500, 0.500, 0.000], [0.000, 0.000, 0.500], [0.000, 0.500, 0.000], [0.500, 0.000, 0.000], [0.500, 0.500, 0.500]], "total_energy_ev_per_atom": -9.44}

{"formula": "Th3UN6", "functional": "PBE", "state": "optimized geometry", "cell": [[5.023, 2.900, 3.908], [-5.023, 2.900, 3.908], [0.000, -5.800, 3.908]], "species": ["Th", "Th", "Th", "Th", "Th", "Th", "U", "U", "N", "N", "N", "N", "N", "N", "N", "N", "N", "N", "N", "N"], "frac_coords": [[0.055, 0.751, 0.560], [0.249, 0.440, 0.945], [0.440, 0.945, 0.249], [0.560, 0.055, 0.751], [0.751, 0.560, 0.055], [0.945, 0.249, 0.440], [0.000, 0.000, 0.000], [0.500, 0.500, 0.500], [0.033, 0.700, 0.906], [0.094, 0.967, 0.300], [0.202, 0.443, 0.584], [0.300, 0.094, 0.967], [0.416, 0.798, 0.557], [0.443, 0.584, 0.202], [0.557, 0.416, 0.798], [0.584, 0.202, 0.443], [0.700, 0.906, 0.033], [0.798, 0.557, 0.416], [0.906, 0.033, 0.700], [0.967, 0.300, 0.094]], "total_energy_ev_per_atom": -9.96}

{"formula": "Th3WN6", "functional": "PBE", "state": "optimized geometry", "cell": [[4.699, -5.956, 0.000], [4.699, 5.956, 0.000], [0.000, 0.000, 5.734]], "species": ["Th", "Th", "Th", "Th", "Th", "Th", "W", "W", "N", "N", "N", "N", "N", "N", "N", "N", "N", "N", "N", "N"], "frac_coords": [[0.102, 0.898, 0.500], [0.196, 0.405, 0.474], [0.405, 0.196, 0.974], [0.595, 0.804, 0.474], [0.804, 0.595, 0.974], [0.898, 0.102, 0.000], [0.305, 0.695, 0.934], [0.695, 0.305, 0.434], [0.088, 0.607, 0.774], [0.151, 0.167, 0.733], [0.167, 0.151, 0.233], [0.289, 0.711, 0.266], [0.393, 0.912, 0.774], [0.452, 0.548, 0.815], [0.548, 0.452, 0.315], [0.607, 0.088, 0.274], [0.711, 0.289, 0.766], [0.833, 0.849, 0.733], [0.849, 0.833, 0.233], [0.912, 0.393, 0.274]], "total_energy_ev_per_atom": -9.96}

{"formula": "Y3ThN4", "functional": "PBE", "state": "optimized geometry", "cell": [[7.036, 0.000, 0.000], [0.000, 9.928, 0.000], [0.000, 0.000, 3.525]], "species": ["Y", "Y", "Y", "Y", "Y", "Y", "Th", "Th", "N", "N", "N", "N", "N", "N", "N", "N"], "frac_coords": [[0.000, 0.000, 0.000], [0.250, 0.250, 0.500], [0.250, 0.750, 0.500], [0.500, 0.500, 0.000], [0.750, 0.250, 0.500], [0.750, 0.750, 0.500], [0.000, 0.500, 0.000], [0.500, 0.000, 0.000], [0.000, 0.251, 0.000], [0.000, 0.749, 0.000], [0.249, 0.000, 0.500], [0.251, 0.500, 0.500], [0.500, 0.249, 0.000], [0.500, 0.751, 0.000], [0.749, 0.500, 0.500], [0.751, 0.000, 0.500]], "total_energy_ev_per_atom": -9.18}

{"formula": "ThZr2N4", "functional": "PBE", "state": "optimized geometry", "cell": [[1.646, -5.380, 0.000], [1.646, 5.380, 0.000], [0.000, 0.000, 10.761]], "species": ["Th", "Th", "Zr", "Zr", "Zr", "Zr", "N", "N", "N", "N", "N", "N", "N", "N"], "frac_coords": [[0.109, 0.891, 0.750], [0.891, 0.109, 0.250], [0.366, 0.634, 0.567], [0.366, 0.634, 0.933], [0.634, 0.366, 0.067], [0.634, 0.366, 0.433], [0.000, 0.000, 0.000], [0.000, 0.000, 0.500], [0.268, 0.732, 0.114], [0.268, 0.732, 0.386], [0.455, 0.545, 0.750], [0.545, 0.455, 0.250], [0.732, 0.268, 0.614], [0.732, 0.268, 0.886]], "total_energy_ev_per_atom": -9.82}

{"formula": "TlW2N", "functional": "PBE", "state": "optimized geometry", "cell": [[4.829, -2.738, 0.000], [4.829, 2.738, 0.000], [-4.139, 0.000, 14.110]], "species": ["Tl", "Tl", "Tl", "Tl", "Tl", "Tl", "W", "W", "W", "W", "W", "W", "W", "W", "W", "W", "W", "W", "N", "N", "N", "N", "N", "N"], "frac_coords": [[0.114, 0.886, 0.750], [0.214, 0.443, 0.257], [0.443, 0.214, 0.757], [0.557, 0.786, 0.243], [0.786, 0.557, 0.743], [0.886, 0.114, 0.250], [0.041, 0.177, 0.566], [0.146, 0.313, 0.918], [0.177, 0.041, 0.066], [0.313, 0.146, 0.418], [0.409, 0.415, 0.589], [0.415, 0.409, 0.089], [0.585, 0.591, 0.911], [0.591, 0.585, 0.411], [0.687, 0.854, 0.582], [0.823, 0.959, 0.934], [0.854, 0.687, 0.082], [0.959, 0.823, 0.434], [0.000, 0.500, 0.500], [0.248, 0.652, 0.971], [0.348, 0.752, 0.529], [0.500, 0.000, 0.000], [0.652, 0.248, 0.471], [0.752, 0.348, 0.029]], "e_above_lowest_polymorph_mev_per_atom": 0}

{"formula": "TlW2N", "functional": "PBE", "state": "optimized geometry", "cell": [[2.944, 0.000, 0.000], [-1.472, 2.549, 0.000], [0.000, 0.000, 15.589]], "species": ["Tl", "Tl", "W", "W", "W", "W", "N", "N"], "frac_coords": [[0.333, 0.667, 0.250], [0.667, 0.333, 0.750], [0.333, 0.667, 0.589], [0.333, 0.667, 0.911], [0.667, 0.333, 0.089], [0.667, 0.333, 0.411], [0.000, 0.000, 0.000], [0.000, 0.000, 0.500]], "e_above_lowest_polymorph_mev_per_atom": 97}

{"formula": "TlW4N3", "functional": "PBE", "state": "optimized geometry", "cell": [[2.863, 0.000, 0.000], [-1.431, 2.479, 0.000], [0.000, 0.000, 27.846]], "species": ["Tl", "Tl", "W", "W", "W", "W", "W", "W", "W", "W", "N", "N", "N", "N", "N", "N"], "frac_coords": [[0.333, 0.667, 0.250], [0.667, 0.333, 0.750], [0.000, 0.000, 0.159], [0.000, 0.000, 0.341], [0.000, 0.000, 0.659], [0.000, 0.000, 0.841], [0.333, 0.667, 0.053], [0.333, 0.667, 0.447], [0.667, 0.333, 0.553], [0.667, 0.333, 0.947], [0.000, 0.000, 0.000], [0.000, 0.000, 0.500], [0.333, 0.667, 0.609], [0.333, 0.667, 0.891], [0.667, 0.333, 0.109], [0.667, 0.333, 0.391]], "total_energy_ev_per_atom": -9.53}

{"formula": "Y2Tl3W4N3", "functional": "PBE", "state": "optimized geometry", "cell": [[5.027, -2.929, 0.000], [5.027, 2.929, 0.000], [-3.374, 0.000, 13.762]], "species": ["Y", "Y", "Y", "Y", "Tl", "Tl", "Tl", "Tl", "Tl", "Tl", "W", "W", "W", "W", "W", "W", "W", "W", "N", "N", "N", "N", "N", "N"], "frac_coords": [[0.033, 0.866, 0.603], [0.134, 0.967, 0.897], [0.866, 0.033, 0.103], [0.967, 0.134, 0.397], [0.083, 0.322, 0.747], [0.322, 0.083, 0.247], [0.490, 0.510, 0.750], [0.510, 0.490, 0.250], [0.678, 0.917, 0.753], [0.917, 0.678, 0.253], [0.189, 0.369, 0.067], [0.321, 0.463, 0.434], [0.369, 0.189, 0.567], [0.463, 0.321, 0.934], [0.537, 0.679, 0.066], [0.631, 0.811, 0.433], [0.679, 0.537, 0.566], [0.811, 0.631, 0.933], [0.000, 0.500, 0.500], [0.163, 0.677, 0.000], [0.323, 0.837, 0.500], [0.500, 0.000, 0.000], [0.677, 0.163, 0.500], [0.837, 0.323, 0.000]], "total_energy_ev_per_atom": -8.19}

{"formula": "Y4Tl3W2N3", "functional": "PBE", "state": "optimized geometry", "cell": [[5.085, -2.969, 0.000], [5.085, 2.969, 0.000], [-3.324, 0.000, 14.703]], "species": ["Y", "Y", "Y", "Y", "Y", "Y", "Y", "Y", "Tl", "Tl", "Tl", "Tl", "Tl", "Tl", "W", "W", "W", "W", "N", "N", "N", "N", "N", "N"], "frac_coords": [[0.035, 0.193, 0.091], [0.131, 0.304, 0.409], [0.193, 0.035, 0.591], [0.304, 0.131, 0.909], [0.696, 0.869, 0.091], [0.807, 0.965, 0.409], [0.869, 0.696, 0.591], [0.965, 0.807, 0.909], [0.123, 0.877, 0.250], [0.286, 0.417, 0.751], [0.417, 0.286, 0.251], [0.583, 0.714, 0.749], [0.714, 0.583, 0.249], [0.877, 0.123, 0.750], [0.348, 0.522, 0.067], [0.478, 0.652, 0.433], [0.522, 0.348, 0.567], [0.652, 0.478, 0.933], [0.000, 0.500, 0.000], [0.183, 0.659, 0.500], [0.341, 0.817, 0.000], [0.500, 0.000, 0.500], [0.659, 0.183, 0.000], [0.817, 0.341, 0.500]], "total_energy_ev_per_atom": -7.57}

{"formula": "TlZnW4N2", "functional": "PBE", "state": "optimized geometry", "cell": [[2.878, 0.000, 0.000], [-1.439, 2.492, 0.000], [0.000, 0.000, 15.300]], "species": ["Tl", "Zn", "W", "W", "W", "W", "N", "N"], "frac_coords": [[0.000, 0.000, 0.000], [0.667, 0.333, 0.500], [0.000, 0.000, 0.353], [0.000, 0.000, 0.647], [0.667, 0.333, 0.165], [0.667, 0.333, 0.835], [0.333, 0.667, 0.258], [0.333, 0.667, 0.742]], "total_energy_ev_per_atom": -8.68}

{"formula": "Y2Zr4Tl3N3", "functional": "PBE", "state": "optimized geometry", "cell": [[5.136, -2.965, 0.000], [5.136, 2.965, 0.000], [-3.422, 0.000, 14.911]], "species": ["Y", "Y", "Y", "Y", "Zr", "Zr", "Zr", "Zr", "Zr", "Zr", "Zr", "Zr", "Tl", "Tl", "Tl", "Tl", "Tl", "Tl", "N", "N", "N", "N", "N", "N"], "frac_coords": [[0.031, 0.869, 0.592], [0.131, 0.969, 0.908], [0.869, 0.031, 0.092], [0.969, 0.131, 0.408], [0.193, 0.354, 0.078], [0.302, 0.479, 0.422], [0.354, 0.193, 0.578], [0.479, 0.302, 0.922], [0.521, 0.698, 0.078], [0.646, 0.807, 0.422], [0.698, 0.521, 0.578], [0.807, 0.646, 0.922], [0.083, 0.288, 0.751], [0.288, 0.083, 0.251], [0.452, 0.548, 0.750], [0.548, 0.452, 0.250], [0.712, 0.917, 0.749], [0.917, 0.712, 0.249], [0.000, 0.500, 0.500], [0.170, 0.659, 0.000], [0.341, 0.830, 0.500], [0.500, 0.000, 0.000], [0.659, 0.170, 0.500], [0.830, 0.341, 0.000]], "total_energy_ev_per_atom": -7.61}

{"formula": "Y4Zr2Tl3N3", "functional": "PBE", "state": "optimized geometry", "cell": [[5.213, -3.015, 0.000], [5.213, 3.015, 0.000], [-3.524, 0.000, 15.304]], "species": ["Y", "Y", "Y", "Y", "Y", "Y", "Y", "Y", "Zr", "Zr", "Zr", "Zr", "Tl", "Tl", "Tl", "Tl", "Tl", "Tl", "N", "N", "N", "N", "N", "N"], "frac_coords": [[0.034, 0.192, 0.088], [0.132, 0.304, 0.412], [0.192, 0.034, 0.588], [0.304, 0.132, 0.912], [0.696, 0.868, 0.088], [0.808, 0.966, 0.412], [0.868, 0.696, 0.588], [0.966, 0.808, 0.912], [0.355, 0.525, 0.075], [0.475, 0.645, 0.425], [0.525, 0.355, 0.575], [0.645, 0.475, 0.925], [0.113, 0.887, 0.250], [0.279, 0.417, 0.751], [0.417, 0.279, 0.251], [0.583, 0.721, 0.749], [0.721, 0.583, 0.249], [0.887, 0.113, 0.750], [0.000, 0.500, 0.000], [0.180, 0.660, 0.500], [0.340, 0.820, 0.000], [0.500, 0.000, 0.500], [0.660, 0.180, 0.000], [0.820, 0.340, 0.500]], "total_energy_ev_per_atom": -7.26}

{"formula": "Zr4TlZnN2", "functional": "PBE", "state": "optimized geometry", "cell": [[3.315, 0.000, 0.000], [-1.658, 2.871, 0.000], [0.000, 0.000, 14.399]], "species": ["Zr", "Zr", "Zr", "Zr", "Tl", "Zn", "N", "N"], "frac_coords": [[0.000, 0.000, 0.156], [0.000, 0.000, 0.844], [0.333, 0.667, 0.327], [0.333, 0.667, 0.673], [0.000, 0.000, 0.500], [0.333, 0.667, 0.000], [0.667, 0.333, 0.241], [0.667, 0.333, 0.759]], "total_energy_ev_per_atom": -7.77}